Compound: LiHf5
Source: Alexandria via LeMat-Bulk
Functional: PBE-GGA
Structure: relaxed

Properties
- Space-group type: Cmmm, No. 65

Cell and atoms, written as CIF:
```
data_LiHf5
_cell_length_a 3.266
_cell_length_b 4.960
_cell_length_c 8.152
_cell_angle_alpha 107.71
_cell_angle_beta 90.00
_cell_angle_gamma 90.00
_space_group_name_H-M_alt 'P 1'
_space_group_IT_number 1
loop_
_space_group_symop_operation_xyz
'x,y,z'
loop_
_atom_site_label
_atom_site_type_symbol
_atom_site_fract_x
_atom_site_fract_y
_atom_site_fract_z
Hf1 Hf 0.500 0.140 0.280
Hf2 Hf 0.000 0.684 0.368
Hf3 Hf 0.500 0.860 0.720
Hf4 Hf 0.500 0.500 0.000
Hf5 Hf 0.000 0.316 0.632
Li1 Li 0.000 0.000 0.000
```



Compound: LiLuHfMn
Source: Alexandria via LeMat-Bulk
Functional: PBE-GGA
Structure: relaxed

Properties
- Space-group type: F-43m, No. 216

Cell and atoms, written as CIF:
```
data_LiLuHfMn
_cell_length_a 4.660
_cell_length_b 4.660
_cell_length_c 4.660
_cell_angle_alpha 60.00
_cell_angle_beta 60.00
_cell_angle_gamma 60.00
_space_group_name_H-M_alt 'P 1'
_space_group_IT_number 1
loop_
_space_group_symop_operation_xyz
'x,y,z'
loop_
_atom_site_label
_atom_site_type_symbol
_atom_site_fract_x
_atom_site_fract_y
_atom_site_fract_z
Mn1 Mn 0.250 0.250 0.250
Hf1 Hf 0.500 0.500 0.500
Li1 Li 0.750 0.750 0.750
Lu1 Lu 0.000 0.000 0.000
```



Compound: LiLuHfOs
Source: Alexandria via LeMat-Bulk
Functional: PBE-GGA
Structure: relaxed

Properties
- Space-group type: F-43m, No. 216

Cell and atoms, written as CIF:
```
data_LiLuHfOs
_cell_length_a 4.700
_cell_length_b 4.700
_cell_length_c 4.700
_cell_angle_alpha 60.00
_cell_angle_beta 60.00
_cell_angle_gamma 60.00
_space_group_name_H-M_alt 'P 1'
_space_group_IT_number 1
loop_
_space_group_symop_operation_xyz
'x,y,z'
loop_
_atom_site_label
_atom_site_type_symbol
_atom_site_fract_x
_atom_site_fract_y
_atom_site_fract_z
Lu1 Lu 0.500 0.500 0.500
Os1 Os 0.250 0.250 0.250
Li1 Li 0.750 0.750 0.750
Hf1 Hf 0.000 0.000 0.000
```



Compound: LiLuHfPd
Source: Alexandria via LeMat-Bulk
Functional: PBE-GGA
Structure: relaxed

Properties
- Space-group type: F-43m, No. 216

Cell and atoms, written as CIF:
```
data_LiLuHfPd
_cell_length_a 4.797
_cell_length_b 4.797
_cell_length_c 4.797
_cell_angle_alpha 60.00
_cell_angle_beta 60.00
_cell_angle_gamma 60.00
_space_group_name_H-M_alt 'P 1'
_space_group_IT_number 1
loop_
_space_group_symop_operation_xyz
'x,y,z'
loop_
_atom_site_label
_atom_site_type_symbol
_atom_site_fract_x
_atom_site_fract_y
_atom_site_fract_z
Pd1 Pd 0.500 0.500 0.500
Hf1 Hf 0.750 0.750 0.750
Lu1 Lu 0.250 0.250 0.250
Li1 Li 0.000 0.000 0.000
```



| no. | energy (eV/atom) |
| --- | --- |
| 1 | -8.463 |
| 2 | -6.267 |
| 3 | -7.244 |
| 4 | -5.651 |